[1]
VASP calculation (GGA-PBE) on a geometry-optimized Ba2AlCo structure.

Cell: 11.5532 11.5532 4.6763 Å, 90.00 90.00 90.00°
Closest atoms and distances in Å follow each position.
Space group I-42d (No. 122)
Unique sites:
Ba1 0.0623 0.7500 0.1250  2 Co 3.03
Al1 0.0000 0.0000 0.5000  2 Co 2.34
Co1 0.0000 0.0000 0.0000  2 Al 2.34

Results
DOS(E_F): 15.10 states/eV/cell
V: 624.18 Å³ per cell
theoretical density: 3.8 g/cm³
E_tot: -14.16 eV/f.u.
formation energy: 133 meV per atom


[2]
VASP calculation (GGA-PBE) on a geometry-optimized TiHgTe2N structure.

Cell: 5.7247 5.7247 4.0570 Å, 90.00 90.00 90.00°
Closest atoms and distances in Å follow each position.
Space group P4/mmm (No. 123)
Unique sites:
Ti1 0.0000 0.0000 0.0000  8 Te 3.51
Hg1 0.5000 0.5000 0.5000  2 N 2.03
Te1 0.0000 0.5000 0.5000  2 Hg 2.86
N1 0.5000 0.5000 0.0000  2 Hg 2.03

Results
DOS(E_F): 5.09 states/eV/cell
V: 132.96 Å³ per cell
theoretical density: 6.5 g/cm³
energy relative to the elements, uncorrected: 1.16 eV/atom
E_tot: -16.99 eV/f.u.